No. 1
DFT (PBE) results for a geometry-optimized ScPa2Sb structure.

a b c (Å): 4.373 4.373 4.961
angles (deg): 90.00 90.00 90.00
Space group P4/mmm (No. 123)
Asymmetric unit:
1 Sc 0.000 0.000 0.000
2 Pa 0.000 0.500 0.500
3 Sb 0.500 0.500 0.000

Results
E_form (uncorrected) (eV/f.u.): -1.3
Volume (Å³/f.u.): 94.9
Spin magnetization (μB per formula unit): 0.00
D(E_F) (states/eV/cell): 7.9
Total energy (eV/atom): -7.69
Offset from the most stable computed form (meV per atom): 0.0

=====

No. 2
DFT (PBE) results for a geometry-optimized ScPaSb2 structure.

a b c (Å): 4.2748 4.2748 20.8897
angles (deg): 90.00 90.00 120.00
Space group R-3m (No. 166, hexagonal axes)
Asymmetric unit:
1 Sc 0.0000 0.0000 0.0000
2 Pa 0.0000 0.0000 0.5000
3 Sb 0.0000 0.0000 0.2559

Results
E_form (uncorrected) (eV/f.u.): -2.7
Volume (Å³/f.u.): 110.2
Spin magnetization (μB per formula unit): 0.95
D(E_F) (states/eV/cell): 18.0
Total energy (eV/atom): -6.69
Offset from the most stable computed form (meV per atom): 0.0